No. 1
An optimized crystal structure of Th4PaN7, computed with PBE-GGA.

Cell: 6.1681 6.1681 10.0029 Å, 107.19 107.19 33.60°
Last column: nearest neighbours and their distance in Å.
Positions (direct):
Th (0.0000, 0.0000, 0.0000)  6 N 2.40-2.61
Th (0.1945, 0.1945, 0.7674)  3 N 2.35-2.42
Th (0.5691, 0.5691, 0.3932)  3 N 2.35-2.45
Th (0.8799, 0.8799, 0.5787)  6 N 2.40-2.49
Pa (0.7773, 0.7773, 0.1618)  6 N 2.27-2.39
N (0.1700, 0.1700, 0.2084)  2 Pa 2.32, 1 Th 2.41
N (0.2255, 0.2255, 0.5389)  5 Th 2.42-2.66
N (0.3851, 0.3851, 0.0977)  2 Pa 2.39, 2 Th 2.61
N (0.5321, 0.5321, 0.6208)  5 Th 2.45-2.70
N (0.6230, 0.6230, 0.9590)  1 Pa 2.27, 2 Th 2.41
N (0.8295, 0.8295, 0.7937)  4 Th 2.35-2.40
N (0.9341, 0.9341, 0.3640)  1 Pa 2.28, 3 Th 2.35-2.42

Properties
- Electronic total energy: -9.675 eV per atom
- Mass density: 10.42 g/cm3
- E_form (uncorrected): -1.554 eV/atom
- Symmetry: No. 8


No. 2
An optimized crystal structure of NdYGeRu, computed with PBE-GGA.

Cell: 3.9125 5.9497 5.9497 Å, 42.74 90.00 90.00°
Last column: nearest neighbours and their distance in Å.
Positions (direct):
Nd (0.0000, 0.0000, 0.0000)  1 Ru 2.95, 4 Ge 3.07
Y (0.5000, 0.2813, 0.2813)  4 Ru 2.97, 2 Ge 3.06
Ge (0.5000, 0.5859, 0.5859)  2 Ru 2.55
Ru (0.0000, 0.7337, 0.7337)  2 Ge 2.55

Properties
- Electronic total energy: -6.849 eV per atom
- Mass density: 7.19 g/cm3
- Symmetry: No. 38
- Formation energy: -568 meV/atom